{
  "formula": "LaTbSmDy2",
  "functional": "PBE",
  "state": "optimized geometry",
  "cell": [[4.2375, -5.7981, 0.0000], [4.2375, 5.7981, 0.0000], [0.0000, 0.0000, 7.2265]],
  "species": ["La", "La", "Tb", "Tb", "Sm", "Sm", "Dy", "Dy", "Dy", "Dy"],
  "fractional_positions": [[0.2337, 0.7663, 0.7500], [0.7663, 0.2337, 0.2500], [0.2206, 0.7794, 0.2500], [0.7794, 0.2206, 0.7500], [0.4985, 0.5015, 0.7500], [0.5015, 0.4985, 0.2500], [0.1884, 0.1884, 0.0000], [0.1884, 0.1884, 0.5000], [0.8116, 0.8116, 0.0000], [0.8116, 0.8116, 0.5000]],
  "dos_at_fermi_per_ev_cell": 15.939,
  "dft_energy_ev_per_cell": -43.39
}